Computed, not measured: Li2CoAgF6 after structural relaxation at the PBE+U level of DFT.

Lattice parameters (Å, degrees): 5.8635 5.8635 5.8635 60.00 60.00 60.00
Atoms (fractional coordinates):
Li 0.2500 0.2500 0.2500
Li 0.7500 0.7500 0.7500
Co 0.0000 0.0000 0.0000
Ag 0.5000 0.5000 0.5000
F 0.2250 0.2250 0.7750
F 0.2250 0.7750 0.2250
F 0.2250 0.7750 0.7750
F 0.7750 0.2250 0.2250
F 0.7750 0.2250 0.7750
F 0.7750 0.7750 0.2250

Calculated values
The excess energy over the best structure of this formula in the dataset comes out at 257 meV per atom. The space-group type is Fm-3m. Its electronic total energy is -41.5 eV per cell.